# 1
Here is a relaxed structure of AcLaP2 from Alexandria via LeMat-Bulk. Energies are from PBE-GGA. Values from VASP.

Summary:
**ΔH_f (0 K)**: -1.51 eV/atom
**Distance to the lowest polymorph of the same formula**: 0.00 eV per formula unit
**Uncorrected energy**: -6.4783 eV/atom

Structure (Quantum ESPRESSO input):
```
&SYSTEM
  ibrav = 0, nat = 4, ntyp = 3
/
ATOMIC_SPECIES
P 30.97 P.upf
La 138.91 La.upf
Ac 227.00 Ac.upf
CELL_PARAMETERS angstrom
4.365 0.000 0.000
2.182 3.780 0.000
2.182 1.260 7.126
ATOMIC_POSITIONS crystal
P 0.253 0.253 0.240
P 0.747 0.747 0.760
La 0.000 0.000 0.000
Ac 0.500 0.500 0.500
```

***

# 2
Here is a relaxed structure of PmGaPtAu from Alexandria via LeMat-Bulk. Energies are from PBE-GGA. Values from VASP.

Summary:
**ΔH_f (0 K)**: -0.69 eV/atom
**Uncorrected energy**: -4.9605 eV/atom

Structure (Quantum ESPRESSO input):
```
&SYSTEM
  ibrav = 0, nat = 4, ntyp = 4
/
ATOMIC_SPECIES
Pt 195.08 Pt.upf
Ga 69.72 Ga.upf
Au 196.97 Au.upf
Pm 145.00 Pm.upf
CELL_PARAMETERS angstrom
4.866 0.000 0.000
2.433 4.214 0.000
2.433 1.405 3.973
ATOMIC_POSITIONS crystal
Pt 0.750 0.750 0.750
Ga 0.500 0.500 0.500
Au 0.250 0.250 0.250
Pm 0.000 0.000 0.000
```